No. 1
Computed, not measured: crystalline SrCdPb2 at its relaxed geometry at the PBE-GGA level of DFT.

Results
Energy, eV per atom: -2.57
Symmetry: R-3m, No. 166
Formation enthalpy at 0 K, eV/atom: -0.0687
Size of the total moment, Bohr magnetons per cell: 0.000

a = 10.2069 Å, b = 10.2069 Å, c = 10.2069 Å
α = 22.17°, β = 22.17°, γ = 22.17°
Sites, in units of the cell vectors:
Cd1 0.7500 0.7500 0.7500
Pb1 0.0095 0.0095 0.0095
Pb2 0.4905 0.4905 0.4905
Sr1 0.2500 0.2500 0.2500

No. 2
Computed, not measured: crystalline SrCdPb2 at its relaxed geometry at the PBE-GGA level of DFT.

Results
Energy, eV per atom: -2.73
Symmetry: C2/m, No. 12
Formation enthalpy at 0 K, eV/atom: -0.2290
Size of the total moment, Bohr magnetons per cell: 0.000

a = 5.5275 Å, b = 5.5275 Å, c = 6.2385 Å
α = 76.79°, β = 76.79°, γ = 44.47°
Sites, in units of the cell vectors:
Cd1 0.2500 0.2500 0.2500
Pb1 0.9917 0.9917 0.0534
Pb2 0.5083 0.5083 0.4466
Sr1 0.7500 0.7500 0.7500

No. 3
Computed, not measured: crystalline SrCdPb2 at its relaxed geometry at the PBE-GGA level of DFT.

Results
Energy, eV per atom: -2.72
Symmetry: Cmm2, No. 35
Formation enthalpy at 0 K, eV/atom: -0.2169
Size of the total moment, Bohr magnetons per cell: 0.000

a = 4.0958 Å, b = 4.0958 Å, c = 7.5539 Å
α = 90.00°, β = 90.00°, γ = 90.07°
Sites, in units of the cell vectors:
Cd1 0.5000 0.5000 0.7782
Pb1 0.0000 0.0000 0.9939
Pb2 0.5000 0.5000 0.2183
Sr1 0.0000 0.0000 0.5096

No. 4
Computed, not measured: crystalline SrCdPb3 at its relaxed geometry at the PBE-GGA level of DFT.

Results
Energy, eV per atom: -2.67
Symmetry: Pm-3m, No. 221
Formation enthalpy at 0 K, eV/atom: 0.0754
Polymorph energy (0 for the lowest one), meV per atom: 280.8
Size of the total moment, Bohr magnetons per cell: 0.000

a = 5.7362 Å, b = 5.7362 Å, c = 5.7362 Å
α = 90.00°, β = 90.00°, γ = 90.00°
Sites, in units of the cell vectors:
Pb1 0.0000 0.5000 0.0000
Pb2 0.0000 0.0000 0.5000
Pb3 0.5000 0.0000 0.0000
Sr1 0.5000 0.5000 0.5000
Cd1 0.0000 0.0000 0.0000

No. 5
Computed, not measured: crystalline SrCd2Pb at its relaxed geometry at the PBE-GGA level of DFT.

Results
Energy, eV per atom: -1.97
Symmetry: P2_1/m, No. 11
Formation enthalpy at 0 K, eV/atom: -0.1668
Size of the total moment, Bohr magnetons per cell: 0.000

a = 5.0629 Å, b = 6.5374 Å, c = 8.5069 Å
α = 90.00°, β = 90.00°, γ = 112.68°
Sites, in units of the cell vectors:
Sr1 0.4283 0.8594 0.7500
Sr2 0.5717 0.1406 0.2500
Cd1 0.2369 0.4732 0.4150
Cd2 0.7631 0.5268 0.5850
Cd3 0.2369 0.4732 0.0850
Cd4 0.7631 0.5268 0.9150
Pb1 0.8813 0.7609 0.2500
Pb2 0.1187 0.2391 0.7500

No. 6
Computed, not measured: crystalline SrCdPb2 at its relaxed geometry at the PBE-GGA level of DFT.

Results
Energy, eV per atom: -2.63
Symmetry: I-42d, No. 122
Formation enthalpy at 0 K, eV/atom: -0.1315
Size of the total moment, Bohr magnetons per cell: 0.000

a = 5.1536 Å, b = 5.1536 Å, c = 11.2161 Å
α = 76.72°, β = 76.72°, γ = 90.00°
Sites, in units of the cell vectors:
Pb1 0.6834 0.1250 0.2500
Pb2 0.0666 0.6250 0.2500
Pb3 0.3750 0.3166 0.7500
Pb4 0.8750 0.9334 0.7500
Sr1 0.5000 0.5000 0.0000
Sr2 0.2500 0.7500 0.5000
Cd1 0.0000 0.0000 0.0000
Cd2 0.7500 0.2500 0.5000

| no. | N(E_F) (states/eV/f.u.) |
| --- | --- |
| 1 | 4.16 |
| 2 | 1.41 |
| 3 | 2.96 |
| 4 | 3.47 |
| 5 | 1.75 |
| 6 | 1.71 |